# PBE Er2Ga3Ge2, optimized geometry
data_Er2Ga3Ge2
_space_group_name_H-M_alt 'P 1 2/m 1'
_space_group_IT_number 10
_cell_length_a 4.590
_cell_length_b 3.263
_cell_length_c 9.743
_cell_angle_alpha 90.00
_cell_angle_beta 103.33
_cell_angle_gamma 90.00
loop_
_space_group_symop_operation_xyz
'x,y,z'
'-x,-y,-z'
'-x,y,-z'
'x,-y,z'
loop_
_atom_site_label
_atom_site_type_symbol
_atom_site_fract_x
_atom_site_fract_y
_atom_site_fract_z
_atom_site_occupancy
Er1 Er 0.143 0.000 0.286 1
Ga1 Ga 0.000 0.500 0.000 1
Ga2 Ga 0.282 0.500 0.564 1
Ge1 Ge 0.420 0.500 0.839 1
# - E_form (kcal/mol of atoms) = -9.875

# PBE BaLaZn2Fe, optimized geometry
data_BaLaZn2Fe
_space_group_name_H-M_alt 'P 4/m m m'
_space_group_IT_number 123
_space_group_name_Hall '-P 4 2'
_cell_length_a 5.095
_cell_length_b 5.095
_cell_length_c 4.792
_cell_angle_alpha 90.00
_cell_angle_beta 90.00
_cell_angle_gamma 90.00
loop_
_atom_site_label
_atom_site_type_symbol
_atom_site_fract_x
_atom_site_fract_y
_atom_site_fract_z
_atom_site_occupancy
Ba1 Ba 0.000 0.000 0.000 1
La1 La 0.500 0.500 0.000 1
Zn1 Zn 0.000 0.500 0.500 1
Fe1 Fe 0.500 0.500 0.500 1
# - E_form (kcal/mol of atoms) = -0.770
# - ΔE to the lowest computed polymorph (meV/atom) = 0.0

# PBE CaBe3Si, optimized geometry
data_CaBe3Si
_space_group_name_H-M_alt 'P m -3 m'
_space_group_IT_number 221
_space_group_name_Hall '-P 4 2 3'
_cell_length_a 4.292
_cell_length_b 4.292
_cell_length_c 4.292
_cell_angle_alpha 90.00
_cell_angle_beta 90.00
_cell_angle_gamma 90.00
loop_
_atom_site_label
_atom_site_type_symbol
_atom_site_fract_x
_atom_site_fract_y
_atom_site_fract_z
_atom_site_occupancy
Ca1 Ca 0.000 0.000 0.000 1
Be1 Be 0.000 0.500 0.500 1
Si1 Si 0.500 0.500 0.500 1
# - ΔE to the lowest computed polymorph (meV/atom) = 0.0

# PBE CdBrO2, optimized geometry
data_CdBrO2
_space_group_name_H-M_alt 'C 1 2/m 1'
_space_group_IT_number 12
_cell_length_a 7.078
_cell_length_b 12.645
_cell_length_c 3.421
_cell_angle_alpha 90.00
_cell_angle_beta 118.80
_cell_angle_gamma 90.00
loop_
_space_group_symop_operation_xyz
'x,y,z'
'-x,-y,-z'
'-x,y,-z'
'x,-y,z'
'x+1/2,y+1/2,z'
'-x+1/2,-y+1/2,-z'
'-x+1/2,y+1/2,-z'
'x+1/2,-y+1/2,z'
loop_
_atom_site_label
_atom_site_type_symbol
_atom_site_fract_x
_atom_site_fract_y
_atom_site_fract_z
_atom_site_occupancy
Cd1 Cd 0.000 0.220 0.000 1
Br1 Br 0.247 0.000 0.746 1
O1 O 0.228 0.156 0.727 1
# - ΔE to the lowest computed polymorph (meV/atom) = 48.6

# PBE NpSI, optimized geometry
data_NpSI
_space_group_name_H-M_alt 'I 4 m m'
_space_group_IT_number 107
_space_group_name_Hall 'I 4 -2'
_cell_length_a 3.608
_cell_length_b 3.608
_cell_length_c 13.399
_cell_angle_alpha 90.00
_cell_angle_beta 90.00
_cell_angle_gamma 90.00
loop_
_atom_site_label
_atom_site_type_symbol
_atom_site_fract_x
_atom_site_fract_y
_atom_site_fract_z
_atom_site_occupancy
Np1 Np 0.000 0.000 0.000 1
S1 S 0.000 0.000 0.588 1
I1 I 0.000 0.000 0.338 1
# - uncorrected energy (eV per atom) = -7.15

# PBE AgCNO2, optimized geometry
data_AgCNO2
_space_group_name_H-M_alt 'P 4/m m m'
_space_group_IT_number 123
_space_group_name_Hall '-P 4 2'
_cell_length_a 4.106
_cell_length_b 4.106
_cell_length_c 4.053
_cell_angle_alpha 90.00
_cell_angle_beta 90.00
_cell_angle_gamma 90.00
loop_
_atom_site_label
_atom_site_type_symbol
_atom_site_fract_x
_atom_site_fract_y
_atom_site_fract_z
_atom_site_occupancy
Ag1 Ag 0.000 0.000 0.000 1
C1 C 0.500 0.500 0.500 1
N1 N 0.000 0.000 0.500 1
O1 O 0.000 0.500 0.000 1
# - uncorrected energy (eV per atom) = -3.46

In order of appearance, calculated volume = 20.3; 24.9; 15.8; 16.8; 29.1; 13.7 Å³ per atom.
In order of appearance, total magnetization = 0.0000; 0.0000; 0.0000; 0.0000; 1.3274; 0.3700 μB/atom.